Er4TeAs3 PBE relaxed; space group = No. 47; density = 8.4 g/cm3; uncorrected formation energy = -1.474 eV/atom
1.0
-3.6232 -1.8520 0.6792
2.2322 -5.0760 -1.9335
2.4116 -1.8834 7.7287
Te Er As
1 4 3
Cartesian
0.0000 0.0000 0.0000 Te
1.1161 -2.5380 -0.9668 Er
-1.1574 -1.4370 2.4363 Er
-0.0543 -2.2985 5.9716 Er
2.3219 -3.4797 2.8976 Er
1.1150 -4.8781 5.1753 As
1.2058 -0.9417 3.8643 As
-0.0945 -3.9334 1.2990 As


RbCeBr6 PBE relaxed; space group = No. 166; density = 3.7 g/cm3; uncorrected formation energy = -1.339 eV/atom
1.0
-0.6659 3.9011 5.5840
2.9082 -5.3522 3.1208
5.8019 2.8423 -2.2589
Br Ce Rb
6 1 1
Cartesian
2.8171 -1.7341 2.5572 Br
3.9148 1.3747 0.5163 Br
6.5830 -0.3851 2.9542 Br
5.2271 3.1252 3.8887 Br
1.4612 1.7763 3.4917 Br
4.1293 0.0165 5.9296 Br
4.0221 0.6956 3.2229 Ce
0.0000 0.0000 0.0000 Rb


SmHoEr2Rh4 PBE relaxed; space group = No. 166; density = 11.0 g/cm3; energy of formation = -0.874 eV/atom
1.0
-0.9020 3.5576 -3.1547
-3.8031 -0.3120 -2.9767
-6.0901 4.7200 3.3518
Er Rh Ho Sm
2 4 1 1
Cartesian
-8.0819 5.9625 -2.1020 Er
-2.7133 2.0030 -0.6776 Er
-4.3775 3.3421 1.3082 Rh
-7.0733 5.3311 0.6098 Rh
-6.4177 4.6234 -4.0879 Rh
-3.7218 2.6345 -3.3894 Rh
-5.3976 3.9828 -1.3898 Ho
0.0000 0.0000 0.0000 Sm


Co2AgCl PBE relaxed; space group = No. 119; density = 7.2 g/cm3; uncorrected formation energy = 0.780 eV/atom
1.0
-1.8913 -4.2483 1.0158
2.3064 -3.2740 -2.5727
1.6455 3.4332 2.8570
Ag Cl Co
1 1 2
Cartesian
0.2075 -3.7611 -0.7785 Ag
-0.0191 -2.2881 1.5472 Cl
0.0000 0.0000 0.0000 Co
2.0797 -1.8010 -0.2471 Co


La3TeSe PBE relaxed; space group = No. 221; density = 5.8 g/cm3; uncorrected formation energy = -0.854 eV/atom
1.0
-3.8922 -4.0630 0.2458
3.5375 -3.2082 2.9852
-2.0136 2.2175 4.7692
Se La Te
1 3 1
Cartesian
0.0000 0.0000 0.0000 Se
1.7687 -1.6041 1.4926 La
-1.9461 -2.0315 0.1229 La
-1.0068 1.1087 2.3846 La
-1.1842 -2.5268 4.0001 Te


SmCo3B3 PBE relaxed; space group = No. 223; density = 7.1 g/cm3; energy of formation = -0.179 eV/atom
1.0
5.5118 0.0000 0.0000
0.0000 5.5118 0.0000
0.0000 0.0000 5.5118
Co B Sm
6 6 2
Cartesian
1.3779 2.7559 0.0000 Co
4.1338 2.7559 0.0000 Co
2.7559 0.0000 4.1338 Co
2.7559 0.0000 1.3779 Co
0.0000 1.3779 2.7559 Co
0.0000 4.1338 2.7559 Co
1.3779 0.0000 2.7559 B
0.0000 2.7559 4.1338 B
2.7559 1.3779 0.0000 B
0.0000 2.7559 1.3779 B
2.7559 4.1338 0.0000 B
4.1338 0.0000 2.7559 B
0.0000 0.0000 0.0000 Sm
2.7559 2.7559 2.7559 Sm


FeRe4 PBE relaxed; space group = No. 87; density = 18.5 g/cm3; energy of formation = 0.082 eV/atom
1.0
3.8770 0.0000 0.0000
1.9385 4.3077 0.0000
-1.9385 0.0000 4.3077
Re Fe
4 1
Cartesian
1.9385 1.6887 0.8499 Re
3.8770 3.4578 1.6887 Re
1.9385 2.6190 3.4578 Re
0.0000 0.8499 2.6190 Re
0.0000 0.0000 0.0000 Fe


MgZrNiIr PBE relaxed; space group = No. 216; density = 9.4 g/cm3; energy of formation = -0.556 eV/atom
1.0
-2.2308 3.7386 -1.1628
-4.5055 0.0467 0.0621
-2.1855 2.3869 3.1356
Zr Ni Mg Ir
1 1 1 1
Cartesian
-4.4609 3.0861 1.0175 Zr
-2.2304 1.5431 0.5087 Ni
0.0000 0.0000 0.0000 Mg
-6.6913 4.6292 1.5262 Ir


CsFe2AgCl6 PBE relaxed; space group = No. 15; density = 3.2 g/cm3; uncorrected formation energy = -0.914 eV/atom
1.0
9.1731 0.8717 0.7831
-0.2579 9.2108 0.7831
-1.9070 -2.1567 6.6449
Cl Ag Fe Cs
12 2 4 2
Cartesian
2.4543 1.4305 6.4787 Cl
4.9355 4.2365 5.0548 Cl
5.6016 6.7239 7.7611 Cl
2.0727 3.6893 3.1563 Cl
4.8511 0.8152 2.4246 Cl
0.0672 0.4649 3.7725 Cl
6.9410 7.4609 4.4386 Cl
7.7466 4.0898 2.4641 Cl
1.4067 1.2019 0.4501 Cl
4.5539 6.4953 1.7324 Cl
2.1571 7.1107 5.7865 Cl
-0.7384 3.8361 5.7470 Cl
4.9494 3.6457 2.4443 Ag
2.0588 4.2801 5.7668 Ag
0.5112 2.2579 2.3484 Fe
1.2249 -0.2945 5.6708 Fe
5.7833 8.2204 2.5403 Fe
6.4970 5.6679 5.8627 Fe
5.8631 0.9163 5.7668 Cs
1.1451 7.0095 2.4443 Cs


Pm2Tl2In PBE relaxed; space group = No. 127; density = 9.3 g/cm3; energy of formation = -0.353 eV/atom
1.0
4.7389 0.0000 0.0000
0.0000 7.8374 0.0000
0.0000 0.0000 7.8374
In Tl Pm
2 4 4
Cartesian
0.0000 0.0000 0.0000 In
0.0000 3.9187 3.9187 In
0.0000 2.8602 6.7789 Tl
0.0000 1.0585 2.8602 Tl
0.0000 4.9772 1.0585 Tl
0.0000 6.7789 4.9772 Tl
2.3694 2.5922 1.3265 Pm
2.3694 5.2452 6.5109 Pm
2.3694 6.5109 2.5922 Pm
2.3694 1.3265 5.2452 Pm


Tb4Mg3Sc PBE relaxed; space group = No. 123; density = 5.6 g/cm3; energy of formation = -0.043 eV/atom
1.0
-0.6990 3.6474 -0.1160
-1.5531 -0.4042 -3.3511
-14.2621 -2.5133 6.9130
Tb Sc Mg
4 1 3
Cartesian
-12.3927 -2.1839 6.0069 Tb
-1.8695 -0.3294 0.9061 Tb
-5.4191 -0.9550 2.6267 Tb
-8.8430 -1.5583 4.2863 Tb
-1.1260 1.6216 -1.7336 Sc
-11.7361 -0.2481 3.4093 Mg
-8.2571 0.3649 1.7230 Mg
-4.7781 0.9780 0.0366 Mg


K2Pu2ScS6 PBE relaxed; space group = No. 12; density = 4.4 g/cm3; uncorrected formation energy = -1.625 eV/atom
1.0
6.8373 -0.0108 0.0689
-3.3888 5.9384 0.0689
-1.2186 -2.0947 7.4353
Pu S K Sc
2 6 2 1
Cartesian
2.8132 0.9285 3.7865 Pu
-0.5833 2.9045 3.7865 Pu
0.6296 4.9141 2.4050 S
1.6003 -1.0812 5.1680 S
3.9607 2.9762 2.4050 S
1.7203 2.9569 5.2347 S
0.5096 0.8760 2.3384 S
-1.7308 0.8568 5.1680 S
-1.6806 4.9447 0.0689 K
5.1291 0.9829 0.0689 K
-0.6093 -1.0473 3.7177 Sc


Sr2Zn4PbAu3 PBE relaxed; space group = No. 115; density = 8.9 g/cm3; energy of formation = -0.440 eV/atom
1.0
-1.0421 3.8794 2.0279
-4.3775 -0.9284 -0.4733
0.0261 -5.2547 10.0657
Au Sr Zn Pb
3 2 4 1
Cartesian
0.0130 -2.6273 5.0328 Au
-0.4982 -2.6608 9.8266 Au
-2.1855 -1.1184 1.0164 Au
-0.5148 0.6881 3.4114 Sr
-2.1689 -4.4673 7.4316 Sr
0.0000 0.0000 0.0000 Zn
-2.1796 -2.3086 3.2964 Zn
-0.5041 -1.4706 7.5466 Zn
-2.7098 1.4755 0.7773 Zn
-2.6967 -1.1518 5.8101 Pb


TmSnPdAu PBE relaxed; space group = No. 216; density = 12.2 g/cm3; energy of formation = -0.758 eV/atom
1.0
-2.1767 1.2607 4.1432
-0.9652 -3.3653 3.3521
2.4869 -0.0601 4.1600
Au Sn Pd Tm
1 1 1 1
Cartesian
-0.3275 -1.0824 5.8277 Au
-0.1637 -0.5412 2.9138 Sn
0.0000 0.0000 0.0000 Pd
-0.4912 -1.6235 8.7415 Tm


LaZrCrAg2 PBE relaxed; space group = No. 123; density = 5.6 g/cm3; energy of formation = 1.675 eV/atom
1.0
-3.4284 2.3944 -3.1233
-2.4838 -4.7156 -0.8888
-3.1196 0.8718 4.0927
Ag Cr La Zr
2 1 1 1
Cartesian
-1.7142 1.1972 -1.5616 Ag
-1.5598 0.4359 2.0463 Ag
-4.5159 -0.7247 0.0403 Cr
-1.2419 -2.3578 -0.4444 La
0.0000 0.0000 0.0000 Zr


LiSc4Ta PBE relaxed; space group = No. 216; density = 4.5 g/cm3; energy of formation = 0.608 eV/atom
1.0
0.0000 4.0874 4.0874
4.0874 0.0000 4.0874
4.0874 4.0874 0.0000
Sc Ta Li
4 1 1
Cartesian
3.0821 3.0821 3.0821 Sc
3.0821 5.0926 5.0926 Sc
5.0926 3.0821 5.0926 Sc
5.0926 5.0926 3.0821 Sc
6.1310 6.1310 6.1310 Ta
0.0000 0.0000 0.0000 Li


NaHfGe3 PBE relaxed; space group = No. 221; density = 6.2 g/cm3; energy of formation = 1.022 eV/atom
1.0
-2.5819 2.6396 -3.0971
-3.5591 -3.2431 0.2030
-1.9729 2.3960 3.6868
Ge Hf Na
3 1 1
Cartesian
-1.2910 1.3198 -1.5486 Ge
-1.7795 -1.6215 0.1015 Ge
-0.9865 1.1980 1.8434 Ge
-4.0570 0.8962 0.3964 Hf
0.0000 0.0000 0.0000 Na


K2HgSeI PBE relaxed; space group = No. 123; density = 3.7 g/cm3; uncorrected formation energy = -0.928 eV/atom
1.0
-1.8293 2.6688 5.4907
-4.0585 -4.8135 0.9876
3.8380 -2.7041 2.5930
Hg K Se I
1 2 1 1
Cartesian
1.9190 -1.3520 1.2965 Hg
-2.0293 -2.4068 0.4938 K
-0.9146 1.3344 2.7453 K
0.0000 0.0000 0.0000 Se
-1.0249 -2.4244 4.5356 I


TmMn2Si3 PBE relaxed; space group = No. 63; density = 6.9 g/cm3; uncorrected formation energy = -0.507 eV/atom
1.0
-5.0607 0.7649 0.0006
-0.3701 -2.4439 -5.4036
-0.7019 -4.6472 3.6358
Mn Tm Si
4 2 6
Cartesian
-0.6333 -4.1916 1.7666 Mn
-3.1637 -3.8092 1.7669 Mn
-0.4387 -2.8995 -3.5344 Mn
-2.9691 -2.5171 -3.5341 Mn
-4.5072 -4.1336 -1.1730 Tm
-1.6256 -2.1926 -0.5941 Tm
-4.0389 -1.0346 -2.1269 Si
-3.8552 0.1789 -0.0979 Si
-2.0938 -5.2916 0.3597 Si
-1.9743 -4.4982 -2.8953 Si
-4.1584 -1.8280 1.1282 Si
-2.2775 -6.5052 -1.6692 Si


Hf2AlCuO PBE relaxed; space group = No. 123; density = 7.5 g/cm3; uncorrected formation energy = 0.952 eV/atom
1.0
4.9840 0.0000 0.0000
0.0000 4.1468 0.0000
0.0000 0.0000 4.9840
Cu Al Hf O
1 1 2 1
Cartesian
0.0000 2.0734 0.0000 Cu
0.0000 0.0000 0.0000 Al
2.4920 0.0000 0.0000 Hf
0.0000 0.0000 2.4920 Hf
2.4920 2.0734 2.4920 O